No. 1
Density functional theory data (PBE) for a relaxed structure of SmMnCl.

## Properties
magnetic moment: 0.5 μB per cell
DFT total energy: -0.225 hartree per atom
E_form (uncorrected): -880 meV per atom

CIF file:
```
data_SmMnCl
_chemical_formula_sum 'Sm4 Mn4 Cl4'
_cell_length_a 6.6120
_cell_length_b 3.8137
_cell_length_c 12.0575
_cell_angle_alpha 90.00
_cell_angle_beta 99.02
_cell_angle_gamma 90.00
_symmetry_space_group_name_H-M 'C 1 m 1'
_symmetry_Int_Tables_number 8
loop_
_symmetry_equiv_pos_as_xyz
'x,y,z'
'x,-y,z'
'x+1/2,y+1/2,z'
'x+1/2,-y+1/2,z'
loop_
_atom_site_label
_atom_site_type_symbol
_atom_site_fract_x
_atom_site_fract_y
_atom_site_fract_z
Sm1 Sm 0.0000 0.0000 0.0000
Sm2 Sm 0.0542 0.5000 0.6033
Mn1 Mn 0.2771 0.0000 0.8016
Mn2 Mn 0.4356 0.5000 0.7720
Cl1 Cl 0.1778 0.0000 0.4521
Cl2 Cl 0.2094 0.5000 0.1489
```

---

No. 2
Density functional theory data (PBE) for a relaxed structure of SmMnTlCl6.

## Properties
magnetic moment: 1.9 μB per cell
DFT total energy: -0.161 hartree per atom
E_form (uncorrected): -1351 meV per atom

CIF file:
```
data_SmMnTlCl6
_chemical_formula_sum 'Sm2 Mn2 Tl2 Cl12'
_cell_length_a 6.5681
_cell_length_b 6.5681
_cell_length_c 14.4961
_cell_angle_alpha 90.00
_cell_angle_beta 90.00
_cell_angle_gamma 120.00
_symmetry_space_group_name_H-M 'P -3 1 c'
_symmetry_Int_Tables_number 163
_symmetry_space_group_name_Hall '-P 3 2c'
loop_
_atom_site_label
_atom_site_type_symbol
_atom_site_fract_x
_atom_site_fract_y
_atom_site_fract_z
Sm1 Sm 0.3333 0.6667 0.2500
Mn1 Mn 0.3333 0.6667 0.7500
Tl1 Tl 0.0000 0.0000 0.0000
Cl1 Cl 0.0395 0.3835 0.6507
```

---

No. 3
Density functional theory data (PBE) for a relaxed structure of Mn6Sn4Cl19.

## Properties
magnetic moment: 58.0 μB per cell
DFT total energy: -0.168 hartree per atom
E_form (uncorrected): -924 meV per atom

CIF file:
```
data_Mn6Sn4Cl19
_chemical_formula_sum 'Mn12 Sn8 Cl38'
_cell_length_a 11.5299
_cell_length_b 11.5299
_cell_length_c 11.5299
_cell_angle_alpha 90.00
_cell_angle_beta 90.00
_cell_angle_gamma 90.00
_symmetry_space_group_name_H-M 'I 2 3'
_symmetry_Int_Tables_number 197
_symmetry_space_group_name_Hall 'I 2 2 3'
loop_
_atom_site_label
_atom_site_type_symbol
_atom_site_fract_x
_atom_site_fract_y
_atom_site_fract_z
Mn1 Mn 0.0000 0.3461 0.5000
Sn1 Sn 0.1518 0.1518 0.8482
Cl1 Cl 0.0000 0.0000 0.0000
Cl2 Cl 0.0000 0.0000 0.3441
Cl3 Cl 0.0537 0.3271 0.7153
```

---

No. 4
Density functional theory data (PBE) for a relaxed structure of MnSnCl6.

## Properties
energy above the lowest structure with this stoichiometry: 82 meV/atom
magnetic moment: 9.0 μB per cell
DFT total energy: -0.143 hartree per atom
E_form (uncorrected): -854 meV per atom

CIF file:
```
data_MnSnCl6
_chemical_formula_sum 'Mn3 Sn3 Cl18'
_cell_length_a 6.4075
_cell_length_b 6.4075
_cell_length_c 17.4420
_cell_angle_alpha 90.00
_cell_angle_beta 90.00
_cell_angle_gamma 120.00
_symmetry_space_group_name_H-M 'R -3'
_symmetry_Int_Tables_number 148
_symmetry_space_group_name_Hall '-R 3'
loop_
_atom_site_label
_atom_site_type_symbol
_atom_site_fract_x
_atom_site_fract_y
_atom_site_fract_z
Mn1 Mn 0.0000 0.0000 0.0000
Sn1 Sn 0.0000 0.0000 0.5000
Cl1 Cl 0.0114 0.7114 0.9244
```

---

No. 5
Density functional theory data (PBE) for a relaxed structure of MnSn2Cl.

## Properties
energy above the lowest structure with this stoichiometry: 0 meV/atom
magnetic moment: 16.2 μB per cell
DFT total energy: -0.166 hartree per atom
E_form (uncorrected): 245 meV per atom

CIF file:
```
data_MnSn2Cl
_chemical_formula_sum 'Mn4 Sn8 Cl4'
_cell_length_a 7.2849
_cell_length_b 7.2849
_cell_length_c 7.2849
_cell_angle_alpha 90.00
_cell_angle_beta 90.00
_cell_angle_gamma 90.00
_symmetry_space_group_name_H-M 'F m -3 m'
_symmetry_Int_Tables_number 225
_symmetry_space_group_name_Hall '-F 4 2 3'
loop_
_atom_site_label
_atom_site_type_symbol
_atom_site_fract_x
_atom_site_fract_y
_atom_site_fract_z
Mn1 Mn 0.0000 0.0000 0.0000
Sn1 Sn 0.2500 0.2500 0.2500
Cl1 Cl 0.0000 0.0000 0.5000
```

---

No. 6
Density functional theory data (PBE) for a relaxed structure of MnSn2Cl.

## Properties
energy above the lowest structure with this stoichiometry: 78 meV/atom
magnetic moment: 12.2 μB per cell
DFT total energy: -0.163 hartree per atom
E_form (uncorrected): 323 meV per atom

CIF file:
```
data_MnSn2Cl
_chemical_formula_sum 'Mn4 Sn8 Cl4'
_cell_length_a 5.7779
_cell_length_b 5.7779
_cell_length_c 15.2196
_cell_angle_alpha 90.00
_cell_angle_beta 90.00
_cell_angle_gamma 90.00
_symmetry_space_group_name_H-M 'I -4 2 d'
_symmetry_Int_Tables_number 122
_symmetry_space_group_name_Hall 'I -4 2bw'
loop_
_atom_site_label
_atom_site_type_symbol
_atom_site_fract_x
_atom_site_fract_y
_atom_site_fract_z
Mn1 Mn 0.0000 0.0000 0.0000
Sn1 Sn 0.1804 0.2500 0.1250
Cl1 Cl 0.0000 0.0000 0.5000
```

---

No. 7
Density functional theory data (PBE) for a relaxed structure of MnSn3Cl.

## Properties
energy above the lowest structure with this stoichiometry: 960 meV/atom
magnetic moment: 4.2 μB per cell
DFT total energy: -0.143 hartree per atom
E_form (uncorrected): 710 meV per atom

CIF file:
```
data_MnSn3Cl
_chemical_formula_sum 'Mn1 Sn3 Cl1'
_cell_length_a 5.3318
_cell_length_b 5.3318
_cell_length_c 5.3318
_cell_angle_alpha 90.00
_cell_angle_beta 90.00
_cell_angle_gamma 90.00
_symmetry_space_group_name_H-M 'P m -3 m'
_symmetry_Int_Tables_number 221
_symmetry_space_group_name_Hall '-P 4 2 3'
loop_
_atom_site_label
_atom_site_type_symbol
_atom_site_fract_x
_atom_site_fract_y
_atom_site_fract_z
Mn1 Mn 0.0000 0.0000 0.0000
Sn1 Sn 0.0000 0.5000 0.5000
Cl1 Cl 0.5000 0.5000 0.5000
```

---

No. 8
Density functional theory data (PBE) for a relaxed structure of MnSn3Cl.

## Properties
energy above the lowest structure with this stoichiometry: 0 meV/atom
magnetic moment: 0.0 μB per cell
DFT total energy: -0.178 hartree per atom
E_form (uncorrected): -250 meV per atom

CIF file:
```
data_MnSn3Cl
_chemical_formula_sum 'Mn1 Sn3 Cl1'
_cell_length_a 4.9560
_cell_length_b 4.9560
_cell_length_c 4.9560
_cell_angle_alpha 90.00
_cell_angle_beta 90.00
_cell_angle_gamma 90.00
_symmetry_space_group_name_H-M 'P m -3 m'
_symmetry_Int_Tables_number 221
_symmetry_space_group_name_Hall '-P 4 2 3'
loop_
_atom_site_label
_atom_site_type_symbol
_atom_site_fract_x
_atom_site_fract_y
_atom_site_fract_z
Mn1 Mn 0.0000 0.0000 0.0000
Sn1 Sn 0.0000 0.0000 0.5000
Cl1 Cl 0.5000 0.5000 0.5000
```

---

No. 9
Density functional theory data (PBE) for a relaxed structure of MnSn2Cl6.

## Properties
magnetic moment: 10.0 μB per cell
DFT total energy: -0.152 hartree per atom
E_form (uncorrected): -1004 meV per atom

CIF file:
```
data_MnSn2Cl6
_chemical_formula_sum 'Mn2 Sn4 Cl12'
_cell_length_a 6.5014
_cell_length_b 6.5014
_cell_length_c 12.3651
_cell_angle_alpha 90.00
_cell_angle_beta 90.00
_cell_angle_gamma 90.00
_symmetry_space_group_name_H-M 'P 42/m n m'
_symmetry_Int_Tables_number 136
_symmetry_space_group_name_Hall '-P 4n 2n'
loop_
_atom_site_label
_atom_site_type_symbol
_atom_site_fract_x
_atom_site_fract_y
_atom_site_fract_z
Mn1 Mn 0.0000 0.0000 0.0000
Sn1 Sn 0.0000 0.0000 0.3339
Cl1 Cl 0.1875 0.1875 0.1523
Cl2 Cl 0.2219 0.2219 0.5000
```

---

No. 10
Density functional theory data (PBE) for a relaxed structure of MnSnCl6.

## Properties
energy above the lowest structure with this stoichiometry: 0 meV/atom
magnetic moment: 10.0 μB per cell
DFT total energy: -0.146 hartree per atom
E_form (uncorrected): -935 meV per atom

CIF file:
```
data_MnSnCl6
_chemical_formula_sum 'Mn2 Sn2 Cl12'
_cell_length_a 6.2351
_cell_length_b 12.4143
_cell_length_c 6.2370
_cell_angle_alpha 90.00
_cell_angle_beta 108.12
_cell_angle_gamma 90.00
_symmetry_space_group_name_H-M 'C 1 2/m 1'
_symmetry_Int_Tables_number 12
loop_
_symmetry_equiv_pos_as_xyz
'x,y,z'
'-x,-y,-z'
'-x,y,-z'
'x,-y,z'
'x+1/2,y+1/2,z'
'-x+1/2,-y+1/2,-z'
'-x+1/2,y+1/2,-z'
'x+1/2,-y+1/2,z'
loop_
_atom_site_label
_atom_site_type_symbol
_atom_site_fract_x
_atom_site_fract_y
_atom_site_fract_z
Mn1 Mn 0.0000 0.0000 0.0000
Sn1 Sn 0.0000 0.5000 0.5000
Cl1 Cl 0.2451 0.5000 0.2557
Cl2 Cl 0.2475 0.3622 0.7478
```

---

No. 11
Density functional theory data (PBE) for a relaxed structure of MnSn2Cl6.

## Properties
magnetic moment: 20.0 μB per cell
DFT total energy: -0.152 hartree per atom
E_form (uncorrected): -1004 meV per atom

CIF file:
```
data_MnSn2Cl6
_chemical_formula_sum 'Mn4 Sn8 Cl24'
_cell_length_a 12.4055
_cell_length_b 17.7126
_cell_length_c 5.8744
_cell_angle_alpha 90.00
_cell_angle_beta 113.68
_cell_angle_gamma 90.00
_symmetry_space_group_name_H-M 'C 1 2/c 1'
_symmetry_Int_Tables_number 15
loop_
_symmetry_equiv_pos_as_xyz
'x,y,z'
'-x,-y,-z'
'-x,y,-z+1/2'
'x,-y,z+1/2'
'x+1/2,y+1/2,z'
'-x+1/2,-y+1/2,-z'
'-x+1/2,y+1/2,-z+1/2'
'x+1/2,-y+1/2,z+1/2'
loop_
_atom_site_label
_atom_site_type_symbol
_atom_site_fract_x
_atom_site_fract_y
_atom_site_fract_z
Mn1 Mn 0.0000 0.1834 0.2500
Sn1 Sn 0.1472 0.3998 0.6180
Cl1 Cl 0.1210 0.1031 0.1303
Cl2 Cl 0.1210 0.2501 0.6115
Cl3 Cl 0.1305 0.4167 0.0475
```

---

No. 12
Density functional theory data (PBE) for a relaxed structure of MnSn2Cl7.

## Properties
magnetic moment: 16.0 μB per cell
DFT total energy: -0.146 hartree per atom
E_form (uncorrected): -957 meV per atom

CIF file:
```
data_MnSn2Cl7
_chemical_formula_sum 'Mn4 Sn8 Cl28'
_cell_length_a 20.5263
_cell_length_b 7.0404
_cell_length_c 9.7652
_cell_angle_alpha 90.00
_cell_angle_beta 117.86
_cell_angle_gamma 90.00
_symmetry_space_group_name_H-M 'C 1 2/c 1'
_symmetry_Int_Tables_number 15
loop_
_symmetry_equiv_pos_as_xyz
'x,y,z'
'-x,-y,-z'
'-x,y,-z+1/2'
'x,-y,z+1/2'
'x+1/2,y+1/2,z'
'-x+1/2,-y+1/2,-z'
'-x+1/2,y+1/2,-z+1/2'
'x+1/2,-y+1/2,z+1/2'
loop_
_atom_site_label
_atom_site_type_symbol
_atom_site_fract_x
_atom_site_fract_y
_atom_site_fract_z
Mn1 Mn 0.0000 0.1521 0.2500
Sn1 Sn 0.1583 0.1821 0.0735
Cl1 Cl 0.0000 0.1673 0.7500
Cl2 Cl 0.0781 0.3483 0.1868
Cl3 Cl 0.0864 0.1614 0.5024
Cl4 Cl 0.2356 0.0128 0.3323
```